[1]
An optimized crystal structure of Nd2Hg3Pt. Source: the Alexandria database, functional PBE.

The symmetry is Pmm2, No. 25. The calculation puts the density of states at the Fermi level at 3.5 states/eV/f.u. The calculation puts the energy of formation at -589 meV/atom. The total DFT energy (no corrections) is -20.015 eV for the cell shown.

```
6
Lattice="3.607 0.000 0.000 0.000 4.891 0.000 0.000 0.000 8.540" Properties=species:S:1:pos:R:3 pbc="T T T"
Nd 0.000 0.000 0.000
Nd 0.000 2.446 3.705
Hg 1.804 0.000 5.277
Hg 1.804 2.446 1.065
Hg 1.804 2.446 6.736
Pt 1.804 0.000 2.462
```

[2]
An optimized crystal structure of Nd3HgPt. Source: the Alexandria database, functional PBE.

The symmetry is P2_1/c, No. 14. The calculation puts the density of states at the Fermi level at 3.9 states/eV/f.u. The calculation puts the energy of formation at -617 meV/atom. The total DFT energy (no corrections) is -94.932 eV for the cell shown.

```
20
Lattice="9.331 0.000 0.000 0.000 8.684 0.000 -0.859 0.000 7.068" Properties=species:S:1:pos:R:3 pbc="T T T"
Nd 0.931 1.848 0.230
Nd 0.501 2.494 3.764
Nd 1.331 5.347 5.818
Nd 1.761 7.679 2.284
Nd 3.216 4.492 2.182
Nd 2.787 8.534 5.715
Nd 5.685 0.150 1.352
Nd 5.256 4.192 4.886
Nd 6.712 1.005 4.784
Nd 7.141 3.337 1.250
Nd 7.971 6.189 3.304
Nd 7.541 6.836 6.838
Hg 3.742 1.647 3.244
Hg 3.313 2.695 6.778
Hg 5.159 5.989 0.290
Hg 4.730 7.037 3.824
Pt 0.498 4.786 1.383
Pt 0.068 8.240 4.917
Pt 8.404 0.444 2.151
Pt 7.975 3.898 5.684
```

[3]
An optimized crystal structure of Nd5Hg2Pt. Source: the Alexandria database, functional PBE.

The symmetry is Cmcm, No. 63. Its energy above the most stable polymorph in this dataset is 228 meV/atom. The calculation puts the density of states at the Fermi level at 7.8 states/eV/f.u. The calculation puts the energy of formation at -296 meV/atom. The total DFT energy (no corrections) is -65.709 eV for the cell shown.

```
16
Lattice="2.956 -6.597 0.000 2.956 6.597 0.000 0.000 0.000 12.806" Properties=species:S:1:pos:R:3 pbc="T T T"
Nd 2.956 5.707 7.759
Nd 2.956 5.707 11.451
Nd 2.956 1.609 7.336
Nd 2.956 1.609 11.873
Nd 2.956 1.569 3.202
Nd 2.956 -1.569 9.605
Nd 2.956 -1.609 0.933
Nd 2.956 -1.609 5.470
Nd 2.956 -5.707 1.356
Nd 2.956 -5.707 5.048
Hg 2.956 4.198 1.570
Hg 2.956 4.198 4.833
Hg 2.956 -4.198 7.973
Hg 2.956 -4.198 11.236
Pt 2.956 3.553 9.605
Pt 2.956 -3.553 3.202
```

[4]
An optimized crystal structure of NdPu2HgPt2. Source: the Alexandria database, functional PBE.

The symmetry is P-3m1, No. 164. The calculation puts the density of states at the Fermi level at 21.4 states/eV/f.u. The calculation puts the energy of formation at -605 meV/atom. The total DFT energy (no corrections) is -49.443 eV for the cell shown.

```
6
Lattice="5.117 0.000 0.000 -2.558 4.431 0.000 0.000 0.000 6.228" Properties=species:S:1:pos:R:3 pbc="T T T"
Nd 0.000 0.000 0.000
Pu 0.000 2.954 4.443
Pu 2.558 1.477 1.785
Hg 0.000 0.000 3.114
Pt 0.000 2.954 1.369
Pt 2.558 1.477 4.859
```

[5]
An optimized crystal structure of NdPuHgPt. Source: the Alexandria database, functional PBE.

The symmetry is F-43m, No. 216. The calculation puts the density of states at the Fermi level at 10.0 states/eV/f.u. The calculation puts the energy of formation at -527 meV/atom. The total DFT energy (no corrections) is -110.201 eV for the cell shown.

```
16
Lattice="7.354 0.000 0.000 0.000 7.354 0.000 0.000 0.000 7.354" Properties=species:S:1:pos:R:3 pbc="T T T"
Nd 0.000 0.000 0.000
Nd 0.000 3.677 3.677
Nd 3.677 0.000 3.677
Nd 3.677 3.677 0.000
Pu 0.000 0.000 3.677
Pu 0.000 3.677 0.000
Pu 3.677 0.000 0.000
Pu 3.677 3.677 3.677
Hg 1.839 1.839 5.516
Hg 1.839 5.516 1.839
Hg 5.516 1.839 1.839
Hg 5.516 5.516 5.516
Pt 1.839 1.839 1.839
Pt 1.839 5.516 5.516
Pt 5.516 1.839 5.516
Pt 5.516 5.516 1.839
```

[6]
An optimized crystal structure of NdHgPtRh. Source: the Alexandria database, functional PBE.

The symmetry is F-43m, No. 216. The calculation puts the density of states at the Fermi level at 2.4 states/eV/f.u. The calculation puts the energy of formation at -493 meV/atom. The total DFT energy (no corrections) is -81.733 eV for the cell shown.

```
16
Lattice="6.850 0.000 0.000 0.000 6.850 0.000 0.000 0.000 6.850" Properties=species:S:1:pos:R:3 pbc="T T T"
Nd 0.000 0.000 0.000
Nd 0.000 3.425 3.425
Nd 3.425 0.000 3.425
Nd 3.425 3.425 0.000
Hg 0.000 0.000 3.425
Hg 0.000 3.425 0.000
Hg 3.425 0.000 0.000
Hg 3.425 3.425 3.425
Pt 1.713 1.713 1.713
Pt 1.713 5.138 5.138
Pt 5.138 1.713 5.138
Pt 5.138 5.138 1.713
Rh 1.713 1.713 5.138
Rh 1.713 5.138 1.713
Rh 5.138 1.713 1.713
Rh 5.138 5.138 5.138
```

[7]
An optimized crystal structure of Nd2Si4HgPt3. Source: the Alexandria database, functional PBE.

The symmetry is P-4m2, No. 115. The calculation puts the density of states at the Fermi level at 3.5 states/eV/f.u. The calculation puts the uncorrected formation energy at -862.8 kJ/mol of formula units. The total DFT energy (no corrections) is -58.594 eV for the cell shown.

```
10
Lattice="4.314 0.000 0.000 0.000 4.314 0.000 0.000 0.000 10.057" Properties=species:S:1:pos:R:3 pbc="T T T"
Nd 0.000 2.157 2.433
Nd 2.157 0.000 7.623
Si 0.000 0.000 0.000
Si 0.000 2.157 6.505
Si 2.157 0.000 3.552
Si 2.157 2.157 0.000
Hg 0.000 0.000 5.028
Pt 0.000 2.157 8.906
Pt 2.157 0.000 1.151
Pt 2.157 2.157 5.028
```

[8]
An optimized crystal structure of Nd2Si3HgPt4. Source: the Alexandria database, functional PBE.

The symmetry is P-4m2, No. 115. The calculation puts the density of states at the Fermi level at 4.9 states/eV/f.u. The calculation puts the uncorrected formation energy at -869.9 kJ/mol of formula units. The total DFT energy (no corrections) is -59.285 eV for the cell shown.

```
10
Lattice="4.300 0.000 0.000 0.000 4.300 0.000 0.000 0.000 10.386" Properties=species:S:1:pos:R:3 pbc="T T T"
Nd 0.000 2.150 2.565
Nd 2.150 0.000 7.822
Si 0.000 2.150 9.138
Si 2.150 0.000 1.248
Si 2.150 2.150 5.193
Hg 0.000 0.000 5.193
Pt 0.000 0.000 0.000
Pt 0.000 2.150 6.804
Pt 2.150 0.000 3.583
Pt 2.150 2.150 0.000
```

[9]
An optimized crystal structure of Nd3Si2HgPt9. Source: the Alexandria database, functional PBE.

The symmetry is P-3m1, No. 164. The calculation puts the density of states at the Fermi level at 6.0 states/eV/f.u. The calculation puts the uncorrected formation energy at -1053.4 kJ/mol of formula units. The total DFT energy (no corrections) is -90.736 eV for the cell shown.

```
15
Lattice="5.730 0.000 0.000 -2.865 4.962 0.000 0.000 0.000 11.222" Properties=species:S:1:pos:R:3 pbc="T T T"
Nd 0.000 0.000 0.000
Nd 0.000 3.308 6.808
Nd 2.865 1.654 4.413
Si 0.000 3.308 1.757
Si 2.865 1.654 9.464
Hg 0.000 0.000 5.611
Pt -1.432 2.481 0.000
Pt 0.000 1.608 3.358
Pt -1.473 4.158 3.358
Pt 1.392 0.804 7.864
Pt 2.865 0.000 0.000
Pt 1.432 2.481 0.000
Pt 1.473 4.158 3.358
Pt 4.337 0.804 7.864
Pt 2.865 3.354 7.864
```

[10]
An optimized crystal structure of NdSmHgPt. Source: the Alexandria database, functional PBE.

The symmetry is F-43m, No. 216. The calculation puts the density of states at the Fermi level at 3.4 states/eV/f.u. The calculation puts the energy of formation at -732 meV/atom. The total DFT energy (no corrections) is -75.026 eV for the cell shown.

```
16
Lattice="7.392 0.000 0.000 0.000 7.392 0.000 0.000 0.000 7.392" Properties=species:S:1:pos:R:3 pbc="T T T"
Nd 0.000 0.000 0.000
Nd 0.000 3.696 3.696
Nd 3.696 0.000 3.696
Nd 3.696 3.696 0.000
Sm 0.000 0.000 3.696
Sm 0.000 3.696 0.000
Sm 3.696 0.000 0.000
Sm 3.696 3.696 3.696
Hg 1.848 1.848 5.544
Hg 1.848 5.544 1.848
Hg 5.544 1.848 1.848
Hg 5.544 5.544 5.544
Pt 1.848 1.848 1.848
Pt 1.848 5.544 5.544
Pt 5.544 1.848 5.544
Pt 5.544 5.544 1.848
```

[11]
An optimized crystal structure of Nd2Sn4HgPt3. Source: the Alexandria database, functional PBE.

The symmetry is P-4m2, No. 115. The calculation puts the density of states at the Fermi level at 4.0 states/eV/f.u. The calculation puts the energy of formation at -697 meV/atom. The total DFT energy (no corrections) is -50.939 eV for the cell shown.

```
10
Lattice="4.544 0.000 0.000 0.000 4.544 0.000 0.000 0.000 11.352" Properties=species:S:1:pos:R:3 pbc="T T T"
Nd 0.000 2.272 2.781
Nd 2.272 0.000 8.571
Sn 0.000 0.000 5.676
Sn 0.000 2.272 9.726
Sn 2.272 0.000 1.626
Sn 2.272 2.272 5.676
Hg 2.272 2.272 0.000
Pt 0.000 0.000 0.000
Pt 0.000 2.272 7.130
Pt 2.272 0.000 4.221
```